No. 1
! Na2CdGa PBE optimized geometry; values from VASP
&SYSTEM
  ibrav = 0, nat = 8, ntyp = 3
/
ATOMIC_SPECIES
Na 22.99 Na.upf
Ga 69.72 Ga.upf
Cd 112.41 Cd.upf
CELL_PARAMETERS angstrom
-6.7320 -5.0028 1.2953
0.6586 -2.9404 -7.9339
-1.2489 -6.1317 -2.3703
ATOMIC_POSITIONS crystal
Na 0.6148 0.1250 0.2500
Na 0.1352 0.6250 0.2500
Na 0.3750 0.3852 0.7500
Na 0.8750 0.8648 0.7500
Ga 0.5000 0.5000 0.0000
Ga 0.2500 0.7500 0.5000
Cd 0.0000 0.0000 0.0000
Cd 0.7500 0.2500 0.5000
! ΔE_f: 0.102 eV/atom
! space-group type: I-42d (122)

No. 2
! Na3Sr7Ca PBE optimized geometry; values from VASP
&SYSTEM
  ibrav = 0, nat = 11, ntyp = 3
/
ATOMIC_SPECIES
Na 22.99 Na.upf
Sr 87.62 Sr.upf
Ca 40.08 Ca.upf
CELL_PARAMETERS angstrom
9.6776 0.0000 0.0000
0.0000 8.3460 0.0000
0.0000 -4.1730 7.2279
ATOMIC_POSITIONS crystal
Na 0.7801 0.4921 0.5079
Na 0.7801 0.4921 0.9842
Na 0.7801 0.0158 0.5079
Sr 0.1084 0.1672 0.8328
Sr 0.1084 0.1672 0.3344
Sr 0.1069 0.6667 0.3333
Sr 0.4645 0.8333 0.1667
Sr 0.4645 0.3334 0.1667
Sr 0.4645 0.8333 0.6666
Sr 0.1084 0.6656 0.8328
Ca 0.4490 0.3333 0.6667
! ΔE_f: 0.098 eV/atom
! space-group type: P3m1 (156)

No. 3
! ZnFeOs2 PBE optimized geometry; values from VASP
&SYSTEM
  ibrav = 0, nat = 4, ntyp = 3
/
ATOMIC_SPECIES
Fe 55.84 Fe.upf
Os 190.23 Os.upf
Zn 65.41 Zn.upf
CELL_PARAMETERS angstrom
8.7514 0.0000 0.0000
8.3359 2.6646 0.0000
8.3359 1.2999 2.3261
ATOMIC_POSITIONS crystal
Fe 0.7500 0.7500 0.7500
Os 0.0045 0.0045 0.0045
Os 0.4955 0.4955 0.4955
Zn 0.2500 0.2500 0.2500
! ΔE_f: 0.158 eV/atom
! space-group type: R-3m (166)

No. 4
! YCo4Se PBE optimized geometry; values from VASP
&SYSTEM
  ibrav = 0, nat = 6, ntyp = 3
/
ATOMIC_SPECIES
Y 88.91 Y.upf
Co 58.93 Co.upf
Se 78.96 Se.upf
CELL_PARAMETERS angstrom
0.0000 3.5400 3.5400
3.5400 0.0000 3.5400
3.5400 3.5400 0.0000
ATOMIC_POSITIONS crystal
Y 0.0000 0.0000 0.0000
Co 0.8749 0.3750 0.3750
Co 0.3750 0.3750 0.8749
Co 0.3750 0.8749 0.3750
Co 0.3750 0.3750 0.3750
Se 0.7500 0.7500 0.7500
! E_form (uncorrected): -0.1 eV/f.u.
! space-group type: F-43m (216)

No. 5
! AcMgGa2Ag PBE optimized geometry; values from VASP
&SYSTEM
  ibrav = 0, nat = 5, ntyp = 4
/
ATOMIC_SPECIES
Ac 227.00 Ac.upf
Mg 24.30 Mg.upf
Ga 69.72 Ga.upf
Ag 107.87 Ag.upf
CELL_PARAMETERS angstrom
4.4233 0.0000 0.0000
0.0000 4.5452 0.0000
-2.2116 -2.2726 5.8016
ATOMIC_POSITIONS crystal
Ac 0.4493 0.4493 0.8986
Mg 0.1905 0.6905 0.3810
Ga 0.6924 0.1924 0.3848
Ga 0.0540 0.0540 0.1081
Ag 0.8259 0.8259 0.6517
! ΔE_f: -0.419 eV/atom
! space-group type: Imm2 (44)

No. 6
! CdAs2Ru PBE optimized geometry; values from VASP
&SYSTEM
  ibrav = 0, nat = 4, ntyp = 3
/
ATOMIC_SPECIES
Ru 101.07 Ru.upf
As 74.92 As.upf
Cd 112.41 Cd.upf
CELL_PARAMETERS angstrom
2.9672 0.0101 0.0000
-0.0078 2.9673 0.0000
0.0000 0.0000 9.2577
ATOMIC_POSITIONS crystal
Ru 0.5000 0.5000 0.7500
As 0.0000 0.0000 0.9225
As 0.0000 0.0000 0.5775
Cd 0.5000 0.5000 0.2500
! ΔE_f: -0.025 eV/atom
! space-group type: P4/mmm (123)

No. 7
! LaSm2Y PBE optimized geometry; values from VASP
&SYSTEM
  ibrav = 0, nat = 4, ntyp = 3
/
ATOMIC_SPECIES
La 138.91 La.upf
Sm 150.36 Sm.upf
Y 88.91 Y.upf
CELL_PARAMETERS angstrom
-1.4201 1.4870 -3.0324
-0.2450 -1.9830 -3.0710
-11.2858 -3.8351 1.1912
ATOMIC_POSITIONS crystal
La 0.6667 0.6667 0.9999
Sm 0.0849 0.0849 0.7453
Sm 0.2480 0.2480 0.2560
Y 0.5004 0.5004 0.4989
! ΔE_f: 0.008 eV/atom
! space-group type: R3m (160)
! E above lowest polymorph: 0 kJ/mol of formula units

No. 8
! PmN4 PBE optimized geometry; values from VASP
&SYSTEM
  ibrav = 0, nat = 10, ntyp = 2
/
ATOMIC_SPECIES
Pm 145.00 Pm.upf
N 14.01 N.upf
CELL_PARAMETERS angstrom
5.0472 -1.0434 -1.1022
-2.6578 5.3670 -4.8107
-3.1530 -1.9839 12.8572
ATOMIC_POSITIONS crystal
Pm 0.4060 0.1680 0.7736
Pm 0.9100 0.1685 0.2738
N 0.6368 0.4860 0.4595
N 0.1134 0.1696 0.4772
N 0.1355 0.4895 0.9609
N 0.2207 0.1851 0.5783
N 0.7253 0.1889 0.0803
N 0.3640 0.4840 0.9573
N 0.6153 0.1730 0.9789
N 0.8730 0.4873 0.4601
! E_form (uncorrected): -1.2 eV/f.u.
! space-group type: P1 (1)
! E above lowest polymorph: 0 kJ/mol of formula units

No. 9
! Ti2Co PBE optimized geometry; values from VASP
&SYSTEM
  ibrav = 0, nat = 24, ntyp = 2
/
ATOMIC_SPECIES
Ti 47.87 Ti.upf
Co 58.93 Co.upf
CELL_PARAMETERS angstrom
-2.6207 7.3473 -1.4222
-3.5729 1.6729 -6.8781
-7.7905 1.4676 -0.1667
ATOMIC_POSITIONS crystal
Ti 0.1250 0.6250 0.6250
Ti 0.6250 0.1250 0.6250
Ti 0.6250 0.6250 0.1250
Ti 0.6250 0.6250 0.6250
Ti 0.8131 0.8131 0.1869
Ti 0.1869 0.1869 0.8131
Ti 0.8131 0.1869 0.8131
Ti 0.1869 0.8131 0.1869
Ti 0.1869 0.8131 0.8131
Ti 0.8131 0.1869 0.1869
Ti 0.4369 0.4369 0.0631
Ti 0.0631 0.0631 0.4369
Ti 0.4369 0.0631 0.4369
Ti 0.0631 0.4369 0.0631
Ti 0.0631 0.4369 0.4369
Ti 0.4369 0.0631 0.0631
Co 0.7780 0.4073 0.4073
Co 0.4073 0.7780 0.4073
Co 0.4073 0.4073 0.7780
Co 0.4073 0.4073 0.4073
Co 0.4720 0.8427 0.8427
Co 0.8427 0.4720 0.8427
Co 0.8427 0.8427 0.4720
Co 0.8427 0.8427 0.8427
! ΔE_f: -0.285 eV/atom
! space-group type: Fd-3m (227)

No. 10
! K2NaGeSe4 PBE optimized geometry; values from VASP
&SYSTEM
  ibrav = 0, nat = 8, ntyp = 4
/
ATOMIC_SPECIES
K 39.10 K.upf
Na 22.99 Na.upf
Ge 72.64 Ge.upf
Se 78.96 Se.upf
CELL_PARAMETERS angstrom
-3.5331 5.1536 4.0839
-5.2641 3.6068 -2.2837
-5.3165 -1.3841 3.9692
ATOMIC_POSITIONS crystal
K 0.0000 0.5000 0.5000
K 0.5000 0.5000 0.5000
Na 0.0000 0.0000 0.0000
Ge 0.5000 0.0000 0.0000
Se 0.1363 0.3365 0.0000
Se 0.8637 0.0000 0.6635
Se 0.5272 0.0000 0.3365
Se 0.4728 0.6635 0.0000
! E_form (uncorrected): -6.2 eV/f.u.
! space-group type: I-42m (121)

No. 11
! Pm4Ag2HgRh PBE optimized geometry; values from VASP
&SYSTEM
  ibrav = 0, nat = 8, ntyp = 4
/
ATOMIC_SPECIES
Pm 145.00 Pm.upf
Ag 107.87 Ag.upf
Hg 200.59 Hg.upf
Rh 102.91 Rh.upf
CELL_PARAMETERS angstrom
5.2495 0.0000 0.0000
2.6247 4.5462 0.0000
2.6247 1.5154 8.4363
ATOMIC_POSITIONS crystal
Pm 0.3839 0.3839 0.8484
Pm 0.8685 0.8685 0.3944
Pm 0.1315 0.1315 0.6056
Pm 0.6161 0.6161 0.1516
Ag 0.7423 0.7423 0.7730
Ag 0.2577 0.2577 0.2270
Hg 0.0000 0.0000 0.0000
Rh 0.5000 0.5000 0.5000
! ΔE_f: -0.445 eV/atom
! space-group type: R-3m (166)

No. 12
! NaSc2Cu2S4 PBE optimized geometry; values from VASP
&SYSTEM
  ibrav = 0, nat = 9, ntyp = 4
/
ATOMIC_SPECIES
Na 22.99 Na.upf
Sc 44.96 Sc.upf
Cu 63.55 Cu.upf
S 32.06 S.upf
CELL_PARAMETERS angstrom
3.4866 0.0000 0.0000
-1.7433 6.8483 -0.4002
0.0000 -2.7488 6.5610
ATOMIC_POSITIONS crystal
Na 0.0000 0.0000 0.0000
Sc 0.8769 0.7538 0.4413
Sc 0.1231 0.2462 0.5587
Cu 0.3116 0.6233 0.9672
Cu 0.6884 0.3767 0.0328
S 0.7813 0.5625 0.7244
S 0.2187 0.4375 0.2756
S 0.4702 0.9404 0.2756
S 0.5298 0.0596 0.7244
! E_form (uncorrected): -9.9 eV/f.u.
! space-group type: C2/m (12)

No. 13
! TiCuRe2 PBE optimized geometry; values from VASP
&SYSTEM
  ibrav = 0, nat = 4, ntyp = 3
/
ATOMIC_SPECIES
Re 186.21 Re.upf
Cu 63.55 Cu.upf
Ti 47.87 Ti.upf
CELL_PARAMETERS angstrom
0.0000 3.0671 3.0671
3.0671 0.0000 3.0671
3.0671 3.0671 0.0000
ATOMIC_POSITIONS crystal
Re 0.2500 0.2500 0.2500
Re 0.7500 0.7500 0.7500
Cu 0.5000 0.5000 0.5000
Ti 0.0000 0.0000 0.0000
! ΔE_f: 0.259 eV/atom
! space-group type: Fm-3m (225)
! E above lowest polymorph: 0 kJ/mol of formula units

No. 14
! KBi PBE optimized geometry; values from VASP
&SYSTEM
  ibrav = 0, nat = 4, ntyp = 2
/
ATOMIC_SPECIES
K 39.10 K.upf
Bi 208.98 Bi.upf
CELL_PARAMETERS angstrom
5.6382 0.0000 -0.0093
0.0000 4.8615 0.0000
-2.7866 0.0000 6.3966
ATOMIC_POSITIONS crystal
K 0.6302 0.2500 0.2630
K 0.3698 0.7500 0.7370
Bi 0.9274 0.2500 0.8527
Bi 0.0726 0.7500 0.1473
! ΔE_f: -0.348 eV/atom
! space-group type: P2_1/m (11)

No. 15
! LiAcSi2 PBE optimized geometry; values from VASP
&SYSTEM
  ibrav = 0, nat = 4, ntyp = 3
/
ATOMIC_SPECIES
Ac 227.00 Ac.upf
Si 28.09 Si.upf
Li 6.94 Li.upf
CELL_PARAMETERS angstrom
4.5401 0.0000 0.0000
0.0000 4.4993 0.0000
0.0000 0.0000 4.4993
ATOMIC_POSITIONS crystal
Ac 0.5000 0.5000 0.5000
Si 0.0000 0.0000 0.5000
Si 0.0000 0.5000 0.0000
Li 0.5000 0.0000 0.0000
! E_form (uncorrected): -0.5 eV/f.u.
! space-group type: P4/mmm (123)
! E above lowest polymorph: 168 kJ/mol of formula units

No. 16
! K2Cd9In PBE optimized geometry; values from VASP
&SYSTEM
  ibrav = 0, nat = 12, ntyp = 3
/
ATOMIC_SPECIES
K 39.10 K.upf
Cd 112.41 Cd.upf
In 114.82 In.upf
CELL_PARAMETERS angstrom
-2.2742 1.3890 -5.6486
2.1657 -2.9632 -5.0535
-7.0062 -7.4857 -2.4728
ATOMIC_POSITIONS crystal
K 0.8584 0.8584 0.4247
K 0.1416 0.1416 0.5753
Cd 0.6655 0.6655 0.0036
Cd 0.3345 0.3345 0.9964
Cd 0.5000 0.5000 0.5000
Cd 0.4156 0.4156 0.2460
Cd 0.9229 0.4156 0.2460
Cd 0.4156 0.9229 0.2460
Cd 0.5844 0.5844 0.7540
Cd 0.5844 0.0771 0.7540
Cd 0.0771 0.5844 0.7540
In 0.0000 0.0000 0.0000
! ΔE_f: -0.009 eV/atom
! space-group type: R-3m (166)

No. 17
! ScTaCo2 PBE optimized geometry; values from VASP
&SYSTEM
  ibrav = 0, nat = 4, ntyp = 3
/
ATOMIC_SPECIES
Co 58.93 Co.upf
Sc 44.96 Sc.upf
Ta 180.95 Ta.upf
CELL_PARAMETERS angstrom
4.8782 -0.0839 -0.4617
3.9876 2.8112 -0.4617
0.4016 0.1235 4.1950
ATOMIC_POSITIONS crystal
Co 0.9592 0.9592 0.1249
Co 0.7858 0.7858 0.6251
Sc 0.5188 0.5188 0.6250
Ta 0.2362 0.2362 0.1250
! ΔE_f: -0.223 eV/atom
! space-group type: Amm2 (38)

No. 18
! MnVSi2 PBE optimized geometry; values from VASP
&SYSTEM
  ibrav = 0, nat = 8, ntyp = 3
/
ATOMIC_SPECIES
Si 28.09 Si.upf
Mn 54.94 Mn.upf
V 50.94 V.upf
CELL_PARAMETERS angstrom
-1.8869 -1.0931 -2.8213
3.0256 -0.7077 -1.7493
0.5122 -8.9249 0.8620
ATOMIC_POSITIONS crystal
Si 0.6314 0.1250 0.2500
Si 0.1186 0.6250 0.2500
Si 0.3750 0.3686 0.7500
Si 0.8750 0.8814 0.7500
Mn 0.0000 0.0000 0.0000
Mn 0.7500 0.2500 0.5000
V 0.5000 0.5000 0.0000
V 0.2500 0.7500 0.5000
! E_form (uncorrected): 0.5 eV/f.u.
! space-group type: I-42d (122)

No. 19
! Li2ScNi PBE optimized geometry; values from VASP
&SYSTEM
  ibrav = 0, nat = 4, ntyp = 3
/
ATOMIC_SPECIES
Li 6.94 Li.upf
Ni 58.69 Ni.upf
Sc 44.96 Sc.upf
CELL_PARAMETERS angstrom
-3.3628 1.6877 -1.3927
-0.7469 -5.5830 0.5706
-1.5858 -0.4022 2.8496
ATOMIC_POSITIONS crystal
Li 0.0000 0.0000 0.0000
Li 0.5000 0.0000 0.5000
Ni 0.0000 0.5000 0.5000
Sc 0.5000 0.5000 0.0000
! ΔE_f: 0.036 eV/atom
! space-group type: C2/m (12)
! E above lowest polymorph: 51 kJ/mol of formula units

No. 20
! Ce2TcGe3 PBE optimized geometry; values from VASP
&SYSTEM
  ibrav = 0, nat = 12, ntyp = 3
/
ATOMIC_SPECIES
Ce 140.12 Ce.upf
Tc 98.00 Tc.upf
Ge 72.64 Ge.upf
CELL_PARAMETERS angstrom
-5.0612 1.3771 2.2964
0.4516 -4.5933 -3.3887
1.6951 -4.6442 6.5210
ATOMIC_POSITIONS crystal
Ce 0.6667 0.3333 0.4180
Ce 0.3333 0.6667 0.5820
Ce 0.3333 0.6667 0.9180
Ce 0.6667 0.3333 0.0820
Tc 0.0000 0.0000 0.5000
Tc 0.0000 0.0000 0.0000
Ge 0.1667 0.3333 0.2500
Ge 0.3333 0.1667 0.7500
Ge 0.8333 0.6667 0.7500
Ge 0.1667 0.8333 0.2500
Ge 0.8333 0.1667 0.7500
Ge 0.6667 0.8333 0.2500
! ΔE_f: -0.547 eV/atom
! space-group type: P6_3/mmc (194)
! E above lowest polymorph: 0 kJ/mol of formula units

Number 1: N(E_F) 4.0 states/eV/cell, V 26.65 Å³/atom. Number 2: N(E_F) 7.8 states/eV/cell, V 53.07 Å³/atom. Number 3: N(E_F) 3.9 states/eV/cell, V 13.56 Å³/atom. Number 4: N(E_F) 8.4 states/eV/cell, V 14.79 Å³/atom. Number 5: N(E_F) 3.4 states/eV/cell, V 23.33 Å³/atom. Number 6: N(E_F) 2.1 states/eV/cell, V 20.38 Å³/atom. Number 7: N(E_F) 6.6 states/eV/cell, V 34.27 Å³/atom. Number 8: N(E_F) 3.8 states/eV/cell, V 22.42 Å³/atom. Number 9: N(E_F) 31.6 states/eV/cell, V 14.69 Å³/atom. Number 10: N(E_F) 10.2 states/eV/cell, V 29.86 Å³/atom. Number 11: N(E_F) 5.3 states/eV/cell, V 25.17 Å³/atom. Number 12: N(E_F) 3.6 states/eV/cell, V 16.98 Å³/atom. Number 13: N(E_F) 4.0 states/eV/cell, V 14.43 Å³/atom. Number 14: N(E_F) 1.5 states/eV/cell, V 43.80 Å³/atom. Number 15: N(E_F) 1.5 states/eV/cell, V 22.98 Å³/atom. Number 16: N(E_F) 5.3 states/eV/cell, V 27.90 Å³/atom. Number 17: N(E_F) 3.1 states/eV/cell, V 14.88 Å³/atom. Number 18: N(E_F) 6.3 states/eV/cell, V 13.70 Å³/atom. Number 19: N(E_F) 1.8 states/eV/cell, V 16.68 Å³/atom. Number 20: N(E_F) 9.2 states/eV/cell, V 19.36 Å³/atom.